[1]
## TiSiOs2I (PBE-GGA)

Data for a relaxed TiSiOs2I crystal.

abc: 4.494 4.711 4.494
angles: 90.00 90.00 90.00
Fractional positions:
1 Si 0.000 0.000 0.000
2 I 0.500 0.500 0.500
3 Os 0.000 0.000 0.500
4 Os 0.500 0.000 0.000
5 Ti 0.000 0.500 0.000

Values from the calculation:
E_form (uncorrected): 1.06 eV/atom
Magnetization: 0.0 μB/f.u.

=====

[2]
## TlSi2OsI (PBE-GGA)

Data for a relaxed TlSi2OsI crystal.

abc: 5.272 5.277 5.272
angles: 90.00 90.00 90.00
Fractional positions:
1 Si 0.000 0.000 0.500
2 I 0.500 0.500 0.500
3 Tl 0.000 0.000 0.000
4 Os 0.000 0.500 0.000
5 Si 0.500 0.000 0.000

Values from the calculation:
E_form (uncorrected): 1.97 eV/atom
Magnetization: 2.5 μB/f.u.

=====

[3]
## Y2SiOsI (PBE-GGA)

Data for a relaxed Y2SiOsI crystal.

abc: 5.532 4.388 5.532
angles: 90.00 90.00 90.00
Fractional positions:
1 Os 0.000 0.500 0.000
2 Y 0.500 0.000 0.000
3 Y 0.000 0.000 0.500
4 I 0.500 0.500 0.500
5 Si 0.000 0.000 0.000

Values from the calculation:
E_form (uncorrected): -0.01 eV/atom
Magnetization: 0.0 μB/f.u.

=====

[4]
## Sm3OsI (PBE-GGA)

Data for a relaxed Sm3OsI crystal.

abc: 4.241 7.270 10.012
angles: 90.00 90.00 90.00
Fractional positions:
1 Sm 0.750 0.501 0.141
2 I 0.750 0.750 0.639
3 Sm 0.750 0.250 0.621
4 Sm 0.750 0.999 0.141
5 Sm 0.250 0.001 0.859
6 Sm 0.250 0.499 0.859
7 Os 0.750 0.250 0.902
8 Sm 0.250 0.750 0.379
9 Os 0.250 0.750 0.098
10 I 0.250 0.250 0.361

Values from the calculation:
E_form (uncorrected): -0.38 eV/atom
Magnetization: 0.0 μB/f.u.

=====

[5]
## Sm3OsI (PBE-GGA)

Data for a relaxed Sm3OsI crystal.

abc: 3.988 7.905 10.312
angles: 106.32 90.00 104.61
Fractional positions:
1 Sm 0.973 0.946 0.644
2 Sm 0.235 0.470 0.643
3 Sm 0.765 0.530 0.357
4 I 0.124 0.248 0.115
5 I 0.876 0.752 0.885
6 Os 0.597 0.193 0.579
7 Sm 0.344 0.687 0.122
8 Os 0.403 0.807 0.421
9 Sm 0.656 0.313 0.878
10 Sm 0.027 0.054 0.356

Values from the calculation:
E_form (uncorrected): -0.41 eV/atom
Magnetization: 0.0 μB/f.u.

=====

[6]
## Sm3OsI2 (PBE-GGA)

Data for a relaxed Sm3OsI2 crystal.

abc: 4.131 5.980 8.524
angles: 110.53 104.02 90.00
Fractional positions:
1 I 0.689 0.189 0.378
2 I 0.311 0.811 0.622
3 Sm 0.383 0.383 0.766
4 Sm 0.000 0.000 0.000
5 Sm 0.617 0.617 0.234
6 Os 0.000 0.500 0.000

Values from the calculation:
E_form (uncorrected): -0.65 eV/atom
Magnetization: 0.0 μB/f.u.